The following is a DFT calculation (GGA-PBE) of crystalline Ag5AsSe4F2 at its relaxed geometry.

Symmetry: Amm2, No. 38
Formation energy from raw total energies: -4.7 eV/f.u.
Magnetization: 0.00 μB/f.u.

Unit cell a=5.9875 b=6.6117 c=7.5746 alpha=90.00 beta=90.00 gamma=116.92
With the nearest neighbours (Å) after each atom.
Element x y z (fractional)
F: 0.2985 0.3480 0.5000  3 Ag 2.41-2.43
Se: 0.6814 0.0000 0.2712  1 As 2.38
Se: 0.6814 0.0000 0.7288  1 As 2.38
Ag: 0.0795 0.4069 0.7458  1 F 2.41, 2 Se 2.64-2.67
Se: 0.0725 0.6766 0.0000  1 As 2.41, 2 Ag 2.64
Ag: 0.6726 0.5931 0.7458  1 F 2.41, 2 Se 2.64-2.67
As: 0.4797 0.0000 0.0000  4 Se 2.38-2.41
Ag: 0.3414 0.0000 0.5000  2 F 2.43, 2 Se 2.67
Ag: 0.0795 0.4069 0.2542  1 F 2.41, 2 Se 2.64-2.67
Se: 0.3959 0.3234 0.0000  1 As 2.41, 2 Ag 2.64
F: 0.9506 0.6520 0.5000  3 Ag 2.41-2.43
Ag: 0.6726 0.5931 0.2542  1 F 2.41, 2 Se 2.64-2.67

The following is a DFT calculation (GGA-PBE) of crystalline Nd3Zn4Sn2 at its relaxed geometry.

Symmetry: C2/m, No. 12
ΔH_f (0 K): -535 meV per atom
Magnetization: 0.00 μB/f.u.

Unit cell a=4.5930 b=6.0940 c=8.8238 alpha=107.79 beta=90.00 gamma=112.14
With the nearest neighbours (Å) after each atom.
Element x y z (fractional)
Sn: 0.3868 0.7736 0.7232  3 Zn 2.74-2.76
Zn: 0.0252 0.0505 0.3703  1 Zn 2.53, 2 Sn 2.74
Nd: 0.3314 0.6628 0.3324  7 Zn 3.11-3.46, 4 Sn 3.28-3.37
Zn: 0.2563 0.5126 0.9377  2 Zn 2.57, 1 Sn 2.76
Nd: 0.6686 0.3372 0.6676  7 Zn 3.11-3.46, 4 Sn 3.28-3.37
Zn: 0.9748 0.9495 0.6297  1 Zn 2.53, 2 Sn 2.74
Sn: 0.6132 0.2264 0.2768  3 Zn 2.74-2.76
Nd: 0.0000 0.0000 0.0000  8 Zn 3.12-3.49, 4 Sn 3.29
Zn: 0.7437 0.4874 0.0623  2 Zn 2.57, 1 Sn 2.76

| no. | electronic total energy (eV per cell) |
| --- | --- |
| 1 | -41.30 |
| 2 | -32.22 |